No. 1
A geometry-optimized Ba8MgZn2 structure. Source: the Alexandria database, functional GGA-PBE.

Output
Space-group type: C2/m (12)

Lattice parameters (Å, degrees): 11.090 11.090 8.513 107.99 107.99 31.41
Sites, in units of the cell vectors:
Ba (0.038, 0.038, 0.290)
Ba (0.198, 0.198, 0.820)
Ba (0.324, 0.324, 0.529)
Ba (0.403, 0.403, 0.037)
Ba (0.597, 0.597, 0.963)
Ba (0.676, 0.676, 0.471)
Ba (0.802, 0.802, 0.180)
Ba (0.962, 0.962, 0.710)
Mg (0.500, 0.500, 0.500)
Zn (0.185, 0.185, 0.206)
Zn (0.815, 0.815, 0.794)


No. 2
A geometry-optimized BaMg8Zn4 structure. Source: the Alexandria database, functional GGA-PBE.

Output
Space-group type: I4/mmm (139)

Lattice parameters (Å, degrees): 7.632 7.632 7.632 97.90 97.90 136.47
Sites, in units of the cell vectors:
Ba (0.000, 0.000, 0.000)
Mg (0.000, 0.352, 0.352)
Mg (0.000, 0.648, 0.648)
Mg (0.277, 0.500, 0.777)
Mg (0.352, 0.000, 0.352)
Mg (0.500, 0.277, 0.777)
Mg (0.500, 0.723, 0.223)
Mg (0.648, 0.000, 0.648)
Mg (0.723, 0.500, 0.223)
Zn (0.000, 0.000, 0.500)
Zn (0.000, 0.500, 0.000)
Zn (0.500, 0.000, 0.000)
Zn (0.500, 0.500, 0.500)


No. 3
A geometry-optimized BaMgZn2 structure. Source: the Alexandria database, functional GGA-PBE.

Output
Space-group type: I4_1/amd (141)

Lattice parameters (Å, degrees): 10.059 10.059 10.059 149.88 149.88 43.12
Sites, in units of the cell vectors:
Ba (0.375, 0.625, 0.750)
Ba (0.625, 0.375, 0.250)
Mg (0.125, 0.875, 0.250)
Mg (0.875, 0.125, 0.750)
Zn (0.000, 0.000, 0.000)
Zn (0.000, 0.000, 0.500)
Zn (0.000, 0.500, 0.000)
Zn (0.500, 0.000, 0.500)


No. 4
A geometry-optimized Ba5MgZn4 structure. Source: the Alexandria database, functional GGA-PBE.

Output
Space-group type: P4/mmm (123)

Lattice parameters (Å, degrees): 4.132 4.132 21.073 90.00 90.00 90.00
Sites, in units of the cell vectors:
Ba (0.000, 0.000, 0.000)
Ba (0.000, 0.000, 0.195)
Ba (0.000, 0.000, 0.388)
Ba (0.000, 0.000, 0.612)
Ba (0.000, 0.000, 0.805)
Mg (0.500, 0.500, 0.500)
Zn (0.500, 0.500, 0.097)
Zn (0.500, 0.500, 0.294)
Zn (0.500, 0.500, 0.706)
Zn (0.500, 0.500, 0.903)


No. 5
A geometry-optimized Ba2MgZn structure. Source: the Alexandria database, functional GGA-PBE.

Output
Space-group type: Immm (71)

Lattice parameters (Å, degrees): 10.458 10.458 10.458 157.81 157.71 31.66
Sites, in units of the cell vectors:
Ba (0.159, 0.159, 0.000)
Ba (0.841, 0.841, 0.000)
Mg (0.500, 0.500, 0.000)
Zn (0.000, 0.000, 0.000)


No. 6
A geometry-optimized BaMg2Zn9 structure. Source: the Alexandria database, functional GGA-PBE.

Output
Space-group type: R-3m (166)

Lattice parameters (Å, degrees): 9.017 9.017 9.017 35.62 35.62 35.62
Sites, in units of the cell vectors:
Ba (0.000, 0.000, 0.000)
Mg (0.144, 0.144, 0.144)
Mg (0.856, 0.856, 0.856)
Zn (0.078, 0.592, 0.592)
Zn (0.335, 0.335, 0.335)
Zn (0.408, 0.408, 0.922)
Zn (0.408, 0.922, 0.408)
Zn (0.500, 0.500, 0.500)
Zn (0.592, 0.078, 0.592)
Zn (0.592, 0.592, 0.078)
Zn (0.665, 0.665, 0.665)
Zn (0.922, 0.408, 0.408)


No. 7
A geometry-optimized BaMg2Zn2 structure. Source: the Alexandria database, functional GGA-PBE.

Output
Space-group type: C2/m (12)
E above lowest polymorph (kJ/mol of atoms): 2.2

Lattice parameters (Å, degrees): 6.354 6.354 5.326 103.11 103.11 41.13
Sites, in units of the cell vectors:
Ba (0.000, 0.000, 0.000)
Mg (0.342, 0.342, 0.425)
Mg (0.658, 0.658, 0.575)
Zn (0.266, 0.266, 0.879)
Zn (0.734, 0.734, 0.121)


No. 8
A geometry-optimized BaMg2Zn2 structure. Source: the Alexandria database, functional GGA-PBE.

Output
Space-group type: P4/mbm (127)
E above lowest polymorph (kJ/mol of atoms): 14.9

Lattice parameters (Å, degrees): 8.709 8.709 3.178 90.00 90.00 90.00
Sites, in units of the cell vectors:
Ba (0.000, 0.000, 0.000)
Ba (0.500, 0.500, 0.000)
Mg (0.123, 0.377, 0.000)
Mg (0.377, 0.877, 0.000)
Mg (0.623, 0.123, 0.000)
Mg (0.877, 0.623, 0.000)
Zn (0.169, 0.669, 0.500)
Zn (0.331, 0.169, 0.500)
Zn (0.669, 0.831, 0.500)
Zn (0.831, 0.331, 0.500)


no.,formation energy (eV/f.u.)
1,-0.38
2,-1.45
3,0.03
4,-1.38
5,0.30
6,-1.56
7,-0.65
8,0.00